Here is a relaxed structure of GdErGa2Ag2 from the Open Quantum Materials Database. Energies are from PBE.

Calculated values
Symmetry: No. 187
Energy above the lowest structure with this stoichiometry: 0 meV per atom

Cell and atoms, written as CIF:
```
data_GdErGa2Ag2
_chemical_formula_sum 'Gd1 Er1 Ga2 Ag2'
_symmetry_space_group_name_H-M 'P 1'
_symmetry_Int_Tables_number 1
_cell_length_a 4.5957
_cell_length_b 4.5957
_cell_length_c 7.0116
_cell_angle_alpha 90.00
_cell_angle_beta 90.00
_cell_angle_gamma 120.00
loop_
_symmetry_equiv_pos_as_xyz
'x,y,z'
loop_
_atom_site_label
_atom_site_fract_x
_atom_site_fract_y
_atom_site_fract_z
Er1 0.0000 0.0000 0.0000
Ga1 0.3333 0.6667 0.7860
Ga2 0.3333 0.6667 0.2140
Gd1 0.0000 0.0000 0.5000
Ag1 0.6667 0.3333 0.7477
Ag2 0.6667 0.3333 0.2523
```

Here is a relaxed structure of RbNbF3 from the Open Quantum Materials Database. Energies are from PBE.

Calculated values
Symmetry: No. 99
Energy above the lowest structure with this stoichiometry: 372 meV per atom

Cell and atoms, written as CIF:
```
data_RbNbF3
_chemical_formula_sum 'Rb1 Nb1 F3'
_symmetry_space_group_name_H-M 'P 1'
_symmetry_Int_Tables_number 1
_cell_length_a 3.6943
_cell_length_b 3.6943
_cell_length_c 6.3855
_cell_angle_alpha 90.00
_cell_angle_beta 90.00
_cell_angle_gamma 90.00
loop_
_symmetry_equiv_pos_as_xyz
'x,y,z'
loop_
_atom_site_label
_atom_site_fract_x
_atom_site_fract_y
_atom_site_fract_z
Nb1 0.0000 0.0000 0.9191
F1 0.5000 0.0000 0.7493
F2 0.0000 0.5000 0.7493
F3 0.5000 0.5000 0.0464
Rb1 0.5000 0.5000 0.4358
```

Here is a relaxed structure of TmZn2 from the Open Quantum Materials Database. Energies are from PBE.

Calculated values
Total DFT energy (no corrections): -2.564 eV per atom
Symmetry: No. 11

Cell and atoms, written as CIF:
```
data_TmZn2
_chemical_formula_sum 'Tm8 Zn16'
_symmetry_space_group_name_H-M 'P 1'
_symmetry_Int_Tables_number 1
_cell_length_a 13.0034
_cell_length_b 8.0859
_cell_length_c 4.6001
_cell_angle_alpha 90.00
_cell_angle_beta 90.00
_cell_angle_gamma 72.35
loop_
_symmetry_equiv_pos_as_xyz
'x,y,z'
loop_
_atom_site_label
_atom_site_fract_x
_atom_site_fract_y
_atom_site_fract_z
Zn1 0.1470 0.8030 0.5000
Zn2 0.2335 0.6388 0.0000
Zn3 0.5629 0.2896 0.5000
Zn4 0.6099 0.5823 0.5000
Zn5 0.3433 0.9052 0.0000
Zn6 0.5845 0.7790 0.0000
Zn7 0.9608 0.7225 0.5000
Zn8 0.4888 0.5491 0.0000
Zn9 0.2535 0.0401 0.5000
Zn10 0.6316 0.0716 0.0000
Zn11 0.0382 0.1569 0.5000
Zn12 0.7056 0.8121 0.5000
Zn13 0.0473 0.5579 0.0000
Zn14 0.8515 0.4556 0.5000
Zn15 0.9409 0.3205 0.0000
Zn16 0.1564 0.2040 0.0000
Tm1 0.3692 0.6369 0.5000
Tm2 0.0229 0.9332 0.0000
Tm3 0.1715 0.4278 0.5000
Tm4 0.7104 0.3754 0.0000
Tm5 0.4840 0.9859 0.5000
Tm6 0.8146 0.0793 0.5000
Tm7 0.3799 0.2820 0.0000
Tm8 0.8251 0.7241 0.0000
```